Here is crystalline CaSmIn6 at its relaxed geometry from the Alexandria database. Energies are from PBE-GGA.

Properties
The value obtained for the formation energy is -0.39 eV/atom. The value obtained for the total energy is -26.26 eV per formula unit.

extended XYZ file:
```
8
Lattice="4.701 0.000 0.000 0.000 4.701 0.000 0.000 0.000 9.417" Properties=species:S:1:pos:R:3 pbc="T T T"
Ca 0.000 0.000 0.000
Sm 0.000 0.000 4.708
In 2.351 2.351 0.000
In 2.351 2.351 4.708
In 2.351 0.000 2.349
In 2.351 0.000 7.068
In 0.000 2.351 2.349
In 0.000 2.351 7.068
```



Here is crystalline CaSm4In5 at its relaxed geometry from the Alexandria database. Energies are from PBE-GGA.

Properties
The value obtained for the formation energy is -0.48 eV/atom. The value obtained for the total energy is -39.38 eV per formula unit.

extended XYZ file:
```
10
Lattice="-0.470 -3.639 1.064 -0.714 -0.968 -3.627 18.843 -3.260 -2.838" Properties=species:S:1:pos:R:3 pbc="T T T"
Ca 0.000 0.000 0.000
Sm 3.764 -0.651 -0.567
Sm 7.551 -1.307 -1.137
Sm 11.292 -1.954 -1.701
Sm 15.079 -2.609 -2.271
In 1.294 -2.630 -1.565
In 5.084 -3.286 -2.136
In 8.830 -3.934 -2.700
In 12.575 -4.582 -3.265
In 16.365 -5.238 -3.835
```